Entry 1:
This record from the Alexandria database describes crystalline CaMgCl2 at its relaxed geometry. The functional is GGA-PBE.

Cell and atoms, written as POSCAR:
```
CaMgCl2
1.0
-2.046 2.046 6.144
2.046 -2.046 6.144
2.046 2.046 -6.144
Ca Mg Cl
1 1 2
Direct
0.000 0.000 0.000 Ca
0.750 0.250 0.500 Mg
0.250 0.750 0.500 Cl
0.500 0.500 0.000 Cl
```

The calculation puts the density of states at the Fermi level at 1.58 states/eV/cell. The value obtained for the formation energy (no corrections) is -1123 meV/atom. As for the crystal system: tetragonal. Its uncorrected energy is -2.94 eV per atom.


Entry 2:
This record from the Alexandria database describes crystalline CaMgCl2 at its relaxed geometry. The functional is GGA-PBE.

Cell and atoms, written as POSCAR:
```
CaMgCl2
1.0
4.395 0.000 0.000
0.000 3.933 0.000
-1.892 0.000 6.554
Ca Mg Cl
1 1 2
Direct
0.000 0.000 0.000 Ca
0.645 0.500 0.326 Mg
0.297 0.000 0.410 Cl
0.923 0.500 0.712 Cl
```

The value obtained for the formation energy (no corrections) is -1362 meV/atom. As for the crystal system: monoclinic. Its uncorrected energy is -3.18 eV per atom.


Entry 3:
This record from the Alexandria database describes crystalline CaMgCl2 at its relaxed geometry. The functional is GGA-PBE.

Cell and atoms, written as POSCAR:
```
CaMgCl2
1.0
3.554 -4.403 0.000
3.554 4.403 0.000
-2.231 0.000 3.527
Ca Mg Cl
1 1 2
Direct
0.000 0.000 0.000 Ca
0.500 0.500 0.000 Mg
0.000 0.500 0.000 Cl
0.500 0.000 0.000 Cl
```

The calculation puts the density of states at the Fermi level at 2.13 states/eV/cell. The value obtained for the formation energy (no corrections) is -1175 meV/atom. As for the crystal system: monoclinic. Its uncorrected energy is -3.00 eV per atom.


Entry 4:
This record from the Alexandria database describes crystalline CaMgCl2 at its relaxed geometry. The functional is GGA-PBE.

Cell and atoms, written as POSCAR:
```
CaMgCl2
1.0
1.949 1.125 9.232
-1.949 1.125 9.232
0.000 -2.250 9.232
Ca Mg Cl
1 1 2
Direct
0.000 0.000 0.000 Ca
0.232 0.232 0.232 Mg
0.518 0.518 0.518 Cl
0.721 0.721 0.721 Cl
```

The value obtained for the formation energy (no corrections) is -1466 meV/atom. As for the crystal system: trigonal. Its uncorrected energy is -3.29 eV per atom.


Entry 5:
This record from the Alexandria database describes crystalline CaMgMnCl6 at its relaxed geometry. The functional is GGA-PBE.

Cell and atoms, written as POSCAR:
```
CaMgMnCl6
1.0
6.191 0.000 0.000
0.000 6.191 0.000
0.000 0.000 11.641
Ca Mg Mn Cl
2 2 2 12
Direct
0.000 0.000 0.000 Ca
0.500 0.500 0.500 Ca
0.000 0.000 0.667 Mg
0.500 0.500 0.167 Mg
0.000 0.000 0.332 Mn
0.500 0.500 0.832 Mn
0.184 0.184 0.501 Cl
0.202 0.202 0.822 Cl
0.204 0.204 0.178 Cl
0.296 0.704 0.678 Cl
0.298 0.702 0.322 Cl
0.316 0.684 0.001 Cl
0.684 0.316 0.001 Cl
0.702 0.298 0.322 Cl
0.704 0.296 0.678 Cl
0.796 0.796 0.178 Cl
0.798 0.798 0.822 Cl
0.816 0.816 0.501 Cl
```

The calculation puts the density of states at the Fermi level at 0.00 states/eV/cell. The value obtained for the formation energy (no corrections) is -1743 meV/atom. As for the crystal system: tetragonal. Its uncorrected energy is -4.39 eV per atom.


Entry 6:
This record from the Alexandria database describes crystalline Ca2MgNCl at its relaxed geometry. The functional is GGA-PBE.

Cell and atoms, written as POSCAR:
```
Ca2MgNCl
1.0
5.890 0.000 0.000
0.000 5.890 0.000
0.000 0.000 4.676
Ca Mg N Cl
2 1 1 1
Direct
0.000 0.500 0.000 Ca
0.500 0.000 0.000 Ca
0.000 0.000 0.000 Mg
0.500 0.500 0.500 N
0.000 0.000 0.500 Cl
```

The calculation puts the density of states at the Fermi level at 5.94 states/eV/cell. The value obtained for the formation energy (no corrections) is 844 meV/atom. As for the crystal system: tetragonal. Its uncorrected energy is -2.31 eV per atom.


Entry 7:
This record from the Alexandria database describes crystalline Ca2MgCl2O2 at its relaxed geometry. The functional is GGA-PBE.

Cell and atoms, written as POSCAR:
```
Ca2MgCl2O2
1.0
-1.994 1.994 7.397
1.994 -1.994 7.397
1.994 1.994 -7.397
Ca Mg Cl O
2 1 2 2
Direct
0.102 0.102 0.000 Ca
0.898 0.898 0.000 Ca
0.500 0.500 0.000 Mg
0.320 0.320 0.000 Cl
0.680 0.680 0.000 Cl
0.000 0.500 0.500 O
0.500 0.000 0.500 O
```

The calculation puts the density of states at the Fermi level at 0.00 states/eV/cell. The value obtained for the formation energy (no corrections) is -2564 meV/atom. As for the crystal system: tetragonal. Its uncorrected energy is -5.31 eV per atom.


Entry 8:
This record from the Alexandria database describes crystalline Ca2MgPCl at its relaxed geometry. The functional is GGA-PBE.

Cell and atoms, written as POSCAR:
```
Ca2MgPCl
1.0
5.946 0.000 0.000
0.000 5.946 0.000
0.000 0.000 4.618
Ca Mg P Cl
2 1 1 1
Direct
0.000 0.500 0.000 Ca
0.500 0.000 0.000 Ca
0.000 0.000 0.000 Mg
0.000 0.000 0.500 P
0.500 0.500 0.500 Cl
```

The calculation puts the density of states at the Fermi level at 2.88 states/eV/cell. The value obtained for the formation energy (no corrections) is -279 meV/atom. As for the crystal system: tetragonal. Its uncorrected energy is -2.85 eV per atom.


Number 1: size of the total moment 0.0 μB/f.u.. Number 2: size of the total moment 0.0 μB/f.u.. Number 3: size of the total moment 0.0 μB/f.u.. Number 4: size of the total moment 0.0 μB/f.u.. Number 5: size of the total moment 5.0 μB/f.u.. Number 6: size of the total moment 0.1 μB/f.u.. Number 7: size of the total moment 0.0 μB/f.u.. Number 8: size of the total moment 0.0 μB/f.u..